No. 1
The following is a PBE calculation of crystalline NaH3Se at its relaxed geometry, from Alexandria.

abc: 3.991 3.991 3.991
angles: 90.00 90.00 90.00
Space group Pm-3m (No. 221)
One atom of each set of equivalent atoms:
Na (0.000, 0.000, 0.000) x1
H (0.000, 0.500, 0.500) x3
Se (0.500, 0.500, 0.500) x1

## Properties
Mass density, Mg/m³: 2.74
DFT total energy, eV per formula unit: -13.4
Magnetization, μB per cell: 0.000
Polymorph energy (0 for the lowest one), meV/atom: 0



No. 2
The following is a PBE calculation of crystalline NaHSe2 at its relaxed geometry, from Alexandria.

abc: 5.279 5.340 10.942
angles: 89.57 89.43 73.26
Space group P1 (No. 1)
One atom of each set of equivalent atoms:
Na (0.000, 0.000, 0.000) x1
Na (0.215, 0.463, 0.662) x1
Na (0.678, 0.654, 0.324) x1
H (0.317, 0.314, 0.140) x1
H (0.662, 0.634, 0.807) x1
H (0.844, 0.097, 0.479) x1
Se (0.195, 0.448, 0.930) x1
Se (0.369, 0.238, 0.273) x1
Se (0.661, 0.671, 0.590) x1
Se (0.699, 0.584, 0.944) x1
Se (0.779, 0.080, 0.614) x1
Se (0.865, 0.104, 0.260) x1

## Properties
Mass density, Mg/m³: 3.07
DFT total energy, eV per formula unit: -13.2
Magnetization, μB per cell: 0.000
Polymorph energy (0 for the lowest one), meV/atom: 0



No. 3
The following is a PBE calculation of crystalline Na2H4Se at its relaxed geometry, from Alexandria.

abc: 3.053 11.996 6.222
angles: 90.00 90.00 90.00
Space group P2_1/c (No. 14)
One atom of each set of equivalent atoms:
Na (0.005, 0.246, 0.244) x4
H (0.495, 0.712, 0.508) x4
H (0.500, 0.006, 0.656) x4
Se (0.000, 0.000, 0.500) x2

## Properties
Mass density, Mg/m³: 1.88
DFT total energy, eV per formula unit: -18.5
Magnetization, μB per cell: 0.000
Polymorph energy (0 for the lowest one), meV/atom: 76



No. 4
The following is a PBE calculation of crystalline NaHSe3 at its relaxed geometry, from Alexandria.

abc: 4.493 4.493 4.493
angles: 90.00 90.00 90.00
Space group Pm-3m (No. 221)
One atom of each set of equivalent atoms:
Na (0.000, 0.000, 0.000) x1
H (0.500, 0.500, 0.500) x1
Se (0.000, 0.500, 0.500) x3

## Properties
Mass density, Mg/m³: 4.78
DFT total energy, eV per formula unit: -13.8
Magnetization, μB per cell: 0.000



No. 5
The following is a PBE calculation of crystalline Na2H4Se at its relaxed geometry, from Alexandria.

abc: 3.440 3.440 18.978
angles: 90.00 90.00 90.00
Space group I4/mmm (No. 139)
One atom of each set of equivalent atoms:
Na (0.000, 0.000, 0.185) x4
H (0.000, 0.000, 0.310) x4
H (0.000, 0.500, 0.000) x4
Se (0.000, 0.000, 0.500) x2

## Properties
Mass density, Mg/m³: 1.91
DFT total energy, eV per formula unit: -19.0
Magnetization, μB per cell: 0.000
Polymorph energy (0 for the lowest one), meV/atom: 0



No. 6
The following is a PBE calculation of crystalline Na2HSe2 at its relaxed geometry, from Alexandria.

abc: 3.376 21.327 5.951
angles: 90.00 90.00 90.00
Space group Cmc2_1 (No. 36)
One atom of each set of equivalent atoms:
Na (0.000, 0.058, 0.000) x4
Na (0.000, 0.199, 0.633) x4
H (0.000, 0.398, 0.896) x4
Se (0.000, 0.185, 0.133) x4
Se (0.000, 0.445, 0.085) x4

## Properties
Mass density, Mg/m³: 3.18
DFT total energy, eV per formula unit: -15.6
Magnetization, μB per cell: 0.000